# Pr2Ga2CuPt5 (PBE, relaxed)
data_Pr2Ga2CuPt5
_chemical_formula_sum 'Pr4 Ga4 Cu2 Pt10'
_cell_length_a 10.214
_cell_length_b 10.214
_cell_length_c 3.539
_cell_angle_alpha 90.00
_cell_angle_beta 90.00
_cell_angle_gamma 90.00
_symmetry_space_group_name_H-M 'P 4/m b m'
_symmetry_Int_Tables_number 127
_symmetry_space_group_name_Hall '-P 4 2ab'
loop_
_atom_site_label
_atom_site_fract_x
_atom_site_fract_y
_atom_site_fract_z
Pr1 0.176 0.324 0.000
Ga1 0.126 0.626 0.000
Cu1 0.000 0.000 0.000
Pt1 0.000 0.500 0.500
Pt2 0.055 0.805 0.500
# - electronic total energy (eV per cell) = -113.7
# - calculated density (g/cm³) = 13.14